## SiAg4S5 (PBE)

Data for crystalline SiAg4S5 at its relaxed geometry.

POSCAR file:
```
SiAg4S5
1.0
-4.460 2.228 -3.623
0.007 -1.692 -6.290
-5.499 -3.443 -0.589
S Ag Si
5 4 1
Cartesian
-1.794 0.896 -1.458
-8.392 -1.199 -5.748
-1.234 -1.871 -4.490
-4.843 0.114 -4.069
-4.783 -3.184 -6.169
-3.746 0.129 -6.347
-6.678 -2.801 -4.539
-3.516 -0.933 -2.041
-6.908 -1.738 -8.845
-0.191 0.095 -0.155
```

* uncorrected formation energy: -0.1385 eV/atom
* density: 5.07 Mg/m³

---

## Li6Si2Ge (PBE)

Data for crystalline Li6Si2Ge at its relaxed geometry.

POSCAR file:
```
Li6Si2Ge
1.0
-2.739 -0.208 4.274
4.065 -2.373 1.929
1.775 4.699 0.806
Li Si Ge
6 2 1
Cartesian
2.314 -1.299 3.879
3.055 2.695 2.349
3.818 0.337 2.723
0.046 -0.576 4.661
-0.717 1.781 4.286
0.787 3.417 3.130
1.067 0.729 2.411
2.034 1.389 4.598
0.000 0.000 0.000
```

* uncorrected formation energy: -0.2493 eV/atom
* density: 2.18 Mg/m³

---

## SrY2W (PBE)

Data for crystalline SrY2W at its relaxed geometry.

POSCAR file:
```
SrY2W
1.0
-1.090 -3.301 1.701
2.576 0.605 2.825
-5.713 4.118 4.328
Y Sr W
2 1 1
Cartesian
-0.322 -0.581 3.069
-5.416 3.904 4.103
-3.132 2.257 2.372
-3.927 2.018 5.800
```

* relative energy among the computed polymorphs: 205 meV per atom
* density: 6.03 Mg/m³

---

## MoP2SBr (PBE)

Data for crystalline MoP2SBr at its relaxed geometry.

POSCAR file:
```
MoP2SBr
1.0
4.796 0.000 0.000
0.000 4.796 0.000
0.000 0.000 4.644
Br S P Mo
1 1 2 1
Cartesian
0.000 0.000 0.000
0.000 0.000 2.322
2.398 0.000 0.000
0.000 2.398 0.000
2.398 2.398 2.322
```

* uncorrected formation energy: 1.7125 eV/atom
* relative energy among the computed polymorphs: 1396 meV per atom
* density: 4.19 Mg/m³

---

## Ti3VSe (PBE)

Data for crystalline Ti3VSe at its relaxed geometry.

POSCAR file:
```
Ti3VSe
1.0
-1.349 2.567 3.550
-4.365 -0.470 -1.319
-0.375 -3.769 2.582
V Ti Se
1 3 1
Cartesian
0.000 0.000 0.000
-2.182 -0.235 -0.660
-0.187 -1.884 1.291
-0.675 1.283 1.775
-3.044 -0.836 2.407
```

* uncorrected formation energy: 0.5867 eV/atom
* relative energy among the computed polymorphs: 861 meV per atom
* density: 4.72 Mg/m³

---

## YRe2Cl (PBE)

Data for crystalline YRe2Cl at its relaxed geometry.

POSCAR file:
```
YRe2Cl
1.0
-1.172 2.052 1.948
-4.087 -2.584 0.264
2.082 -2.857 4.262
Y Cl Re
1 1 2
Cartesian
-2.109 -0.981 2.171
-1.068 -2.409 4.302
0.099 -0.136 0.203
0.942 -1.293 1.928
```

* uncorrected formation energy: 0.5874 eV/atom
* relative energy among the computed polymorphs: 782 meV per atom
* density: 10.05 Mg/m³

---

## YCoSn2 (PBE)

Data for crystalline YCoSn2 at its relaxed geometry.

POSCAR file:
```
YCoSn2
1.0
0.000 3.491 3.491
3.491 0.000 3.491
3.491 3.491 0.000
Co Sn Y
1 2 1
Cartesian
0.000 0.000 0.000
1.745 1.745 1.745
5.236 5.236 5.236
3.491 3.491 3.491
```

* calculated total energy: -5.4236 eV/atom
* density: 7.52 Mg/m³

---

## Ca3AsRh (PBE)

Data for crystalline Ca3AsRh at its relaxed geometry.

POSCAR file:
```
Ca3AsRh
1.0
-5.037 1.117 1.161
-1.120 -5.167 0.113
1.158 -0.138 5.158
Ca Rh As
3 1 1
Cartesian
0.579 -0.069 2.579
-0.560 -2.584 0.056
-2.519 0.559 0.580
0.000 0.000 0.000
-2.500 -2.094 3.216
```

* relative energy among the computed polymorphs: 0 meV per atom
* density: 3.35 Mg/m³

---

## MnBe2Ru (PBE)

Data for crystalline MnBe2Ru at its relaxed geometry.

POSCAR file:
```
MnBe2Ru
1.0
4.353 -1.322 -2.308
-1.292 4.362 2.308
-3.076 0.037 4.069
Be Ru Mn
2 1 1
Cartesian
-3.289 3.312 4.801
-1.079 1.086 1.575
-2.184 2.199 3.188
0.000 0.000 0.000
```

* calculated total energy: -5.8548 eV/atom
* density: 5.96 Mg/m³

---

## KCaRu3 (PBE)

Data for crystalline KCaRu3 at its relaxed geometry.

POSCAR file:
```
KCaRu3
1.0
-3.901 1.323 -2.523
1.652 -2.435 -3.831
-2.321 -3.956 1.514
Ca K Ru
1 1 3
Cartesian
-2.285 -2.534 -2.420
0.000 0.000 0.000
-1.950 0.662 -1.261
-1.161 -1.978 0.757
0.826 -1.217 -1.916
```

* relative energy among the computed polymorphs: 219 meV per atom
* density: 5.63 Mg/m³

---

## YTeSI2 (PBE)

Data for crystalline YTeSI2 at its relaxed geometry.

POSCAR file:
```
YTeSI2
1.0
-4.902 -3.351 -0.452
1.658 -1.687 -5.465
3.017 -4.734 2.376
S Te Y I
1 1 1 2
Cartesian
-0.113 -4.886 -1.771
1.509 -2.367 1.188
0.000 0.000 0.000
-2.451 -1.676 -0.226
0.829 -0.843 -2.733
```

* uncorrected formation energy: -0.1633 eV/atom
* relative energy among the computed polymorphs: 0 meV per atom
* density: 3.86 Mg/m³

---

## MgAl5Ni6 (PBE)

Data for crystalline MgAl5Ni6 at its relaxed geometry.

POSCAR file:
```
MgAl5Ni6
1.0
-0.363 2.388 -3.338
-6.347 -3.130 0.994
2.842 4.067 5.143
Mg Al Ni
1 5 6
Cartesian
0.000 0.000 0.000
-3.288 -0.734 2.375
1.158 4.084 2.796
-5.026 -0.759 0.003
-1.934 1.663 1.399
-0.217 1.671 3.762
-2.573 -0.385 0.004
-1.200 2.070 -0.932
-2.668 1.255 3.731
-4.456 1.234 1.367
0.588 2.091 1.432
-1.294 3.710 2.794
```

* calculated total energy: -5.1675 eV/atom
* density: 5.72 Mg/m³

---

## SrAlCr2 (PBE)

Data for crystalline SrAlCr2 at its relaxed geometry.

POSCAR file:
```
SrAlCr2
1.0
3.187 0.000 0.000
0.000 3.187 0.000
0.000 0.000 7.722
Cr Sr Al
2 1 1
Cartesian
0.000 0.000 0.177
1.594 1.594 1.261
0.000 0.000 3.832
1.594 1.594 6.314
```

* calculated total energy: -5.8789 eV/atom
* density: 4.63 Mg/m³

---

## AsIrAuClO (PBE)

Data for crystalline AsIrAuClO at its relaxed geometry.

POSCAR file:
```
AsIrAuClO
1.0
3.167 0.012 0.009
-0.081 4.546 0.007
-0.965 -2.151 7.222
As Ir Au O Cl
1 1 1 1 1
Cartesian
-0.071 1.484 4.217
1.989 2.334 2.234
0.496 0.005 2.074
1.424 2.643 4.316
1.193 0.097 7.187
```

* uncorrected formation energy: -0.1466 eV/atom
* relative energy among the computed polymorphs: 151 meV per atom
* density: 8.23 Mg/m³

---

## Ho7Te2Au2 (PBE)

Data for crystalline Ho7Te2Au2 at its relaxed geometry.

POSCAR file:
```
Ho7Te2Au2
1.0
6.602 -0.005 -0.725
0.002 7.612 0.005
-1.135 0.000 6.544
Ho Te Au
7 2 2
Cartesian
2.164 2.187 6.183
6.035 5.417 2.548
2.734 2.111 2.911
3.305 5.420 -0.358
2.735 5.496 2.913
-0.566 2.189 3.276
0.000 0.000 0.000
1.065 7.609 4.484
4.404 -0.002 1.340
1.082 3.805 1.153
4.387 3.802 4.671
```

* uncorrected formation energy: -0.4336 eV/atom
* relative energy among the computed polymorphs: 397 meV per atom
* density: 9.28 Mg/m³

---

## Ru2WSe (PBE)

Data for crystalline Ru2WSe at its relaxed geometry.

POSCAR file:
```
Ru2WSe
1.0
3.839 0.000 0.000
0.000 2.907 -0.003
0.000 1.464 5.473
Se W Ru
1 1 2
Cartesian
0.000 2.728 2.379
1.919 2.734 4.219
1.919 1.273 1.646
0.000 4.192 5.433
```

* uncorrected formation energy: 0.2376 eV/atom
* density: 12.64 Mg/m³

---

## YB4Rh7 (PBE)

Data for crystalline YB4Rh7 at its relaxed geometry.

POSCAR file:
```
YB4Rh7
1.0
-2.542 0.692 -1.212
-2.093 -4.899 1.591
-2.881 3.922 8.283
Rh Y B
7 1 4
Cartesian
-3.567 -2.300 2.699
-2.487 -0.488 4.937
-4.974 -0.385 6.743
-2.711 2.307 3.535
-2.317 -2.103 0.190
-2.542 0.100 1.919
-3.949 2.015 5.963
0.000 0.000 0.000
-0.955 1.299 2.744
-1.927 2.622 5.538
-3.451 0.824 7.709
-1.523 -1.801 2.165
```

* calculated total energy: -7.4001 eV/atom
* density: 9.14 Mg/m³

---

## TmTh3C (PBE)

Data for crystalline TmTh3C at its relaxed geometry.

POSCAR file:
```
TmTh3C
1.0
5.153 0.000 0.000
0.000 5.153 0.000
0.000 0.000 5.153
Th C Tm
3 1 1
Cartesian
0.000 0.000 2.577
2.577 0.000 0.000
0.000 2.577 0.000
0.000 0.000 0.000
2.577 2.577 2.577
```

* calculated total energy: -7.3013 eV/atom
* density: 10.64 Mg/m³

---

## Mn2Tc4Ir (PBE)

Data for crystalline Mn2Tc4Ir at its relaxed geometry.

POSCAR file:
```
Mn2Tc4Ir
1.0
-3.634 0.891 2.758
0.918 -3.842 2.451
2.231 1.738 6.296
Tc Ir Mn
4 1 2
Cartesian
0.709 0.375 4.730
-1.817 0.446 1.379
0.459 -1.921 1.225
-1.194 -1.588 6.774
0.000 0.000 0.000
0.076 -0.451 8.081
-0.561 -0.762 3.424
```

* calculated total energy: -8.2971 eV/atom
* density: 8.79 Mg/m³

---

## Sn2MoRh (PBE)

Data for crystalline Sn2MoRh at its relaxed geometry.

POSCAR file:
```
Sn2MoRh
1.0
-5.661 -4.123 2.062
3.519 -1.755 6.152
-2.315 -0.532 5.505
Sn Mo Rh
4 2 2
Cartesian
-3.542 -5.576 11.436
-2.609 -2.569 7.088
1.024 -1.664 5.438
-3.788 -3.010 3.474
-1.071 -2.939 4.107
0.066 -2.613 7.882
-4.524 -3.797 5.837
0.000 0.000 0.000
```

* relative energy among the computed polymorphs: 441 meV per atom
* density: 8.92 Mg/m³

---

## ZnFeTeN2 (PBE)

Data for crystalline ZnFeTeN2 at its relaxed geometry.

POSCAR file:
```
ZnFeTeN2
1.0
3.875 0.000 0.000
0.000 3.875 0.000
0.000 0.000 6.127
Zn N Te Fe
1 2 1 1
Cartesian
0.000 0.000 0.000
0.000 1.937 0.000
1.937 0.000 0.000
0.000 0.000 3.064
1.937 1.937 3.064
```

* uncorrected formation energy: 1.6442 eV/atom
* relative energy among the computed polymorphs: 874 meV per atom
* density: 5.00 Mg/m³

---

## Tl2SiPd (PBE)

Data for crystalline Tl2SiPd at its relaxed geometry.

POSCAR file:
```
Tl2SiPd
1.0
-2.496 -4.155 1.063
-4.789 -0.402 -1.236
-1.371 -3.072 -3.647
Si Pd Tl
1 1 2
Cartesian
0.000 0.000 0.000
-4.328 -3.814 -1.911
-2.164 -1.907 -0.955
-6.492 -5.722 -2.866
```

* uncorrected formation energy: 0.3386 eV/atom
* relative energy among the computed polymorphs: 0 meV per atom
* density: 10.44 Mg/m³

---

## Y4Bi6O19 (PBE)

Data for crystalline Y4Bi6O19 at its relaxed geometry.

POSCAR file:
```
Y4Bi6O19
1.0
7.917 0.000 -2.799
-3.958 6.856 -2.799
0.000 0.000 8.397
Bi O Y
6 19 4
Cartesian
0.697 5.649 -0.986
-1.282 4.635 1.813
5.240 2.221 0.986
0.585 3.428 4.612
3.261 1.207 3.785
3.373 3.428 -1.813
5.134 4.524 -2.612
-2.557 4.429 3.616
4.294 1.612 5.711
2.557 4.429 -3.616
-1.401 2.427 1.982
4.374 2.913 2.912
0.246 3.943 0.354
-2.012 6.709 2.144
5.114 0.000 3.616
3.207 2.332 0.113
0.421 5.097 3.153
5.309 0.147 0.187
0.000 0.000 0.000
1.401 2.427 -1.982
-0.845 1.759 4.943
1.431 2.184 2.986
2.858 5.244 -0.655
-0.666 4.672 -2.445
2.803 0.000 1.982
1.129 1.955 0.798
-2.829 4.901 -2.001
5.659 0.000 -2.001
0.000 0.000 6.002
```

* uncorrected formation energy: -1.6593 eV/atom
* density: 6.97 Mg/m³

---

## La4TcPdCl2 (PBE)

Data for crystalline La4TcPdCl2 at its relaxed geometry.

POSCAR file:
```
La4TcPdCl2
1.0
-1.769 -3.692 0.933
6.844 -2.396 3.499
-0.360 1.925 6.933
Cl La Pd Tc
2 4 1 1
Cartesian
-0.360 1.924 6.933
-1.065 -0.884 3.933
0.822 -1.139 6.503
0.146 -3.905 3.719
4.569 -0.258 7.645
3.892 -3.025 4.862
2.538 -3.044 2.216
3.242 -0.236 5.216
```

* uncorrected formation energy: -1.0024 eV/atom
* density: 5.93 Mg/m³

---

## La8Os3CCl4 (PBE)

Data for crystalline La8Os3CCl4 at its relaxed geometry.

POSCAR file:
```
La8Os3CCl4
1.0
8.223 0.000 0.000
0.000 8.915 0.481
-4.112 -4.106 5.818
Os La Cl C
3 8 4 1
Cartesian
-2.056 2.404 3.149
4.112 4.457 0.241
2.056 2.404 3.149
4.112 4.425 3.123
-2.125 2.202 5.961
0.000 4.324 2.955
6.237 2.606 0.338
0.000 0.383 3.176
1.987 2.606 0.338
4.112 0.484 3.344
2.125 2.202 5.961
-2.056 -2.053 2.909
0.000 0.000 0.000
4.112 0.000 0.000
2.056 -2.053 2.909
0.000 4.457 0.241
```

* uncorrected formation energy: -0.9439 eV/atom
* density: 6.89 Mg/m³